[1]
The following is a PBE calculation of a relaxed FeAgTe2Os crystal, from Alexandria.

a b c (Å): 5.2299 5.2299 4.9569
angles (deg): 90.00 90.00 90.00
Closest atoms and distances in Å follow each position.
Positions (direct):
Fe1 0.0000 0.0000 0.0000  8 Te 3.60, 4 Os 3.70
Ag1 0.5000 0.5000 0.5000  2 Os 2.48, 4 Te 2.61
Te1 0.0000 0.5000 0.5000  2 Ag 2.61
Te2 0.5000 0.0000 0.5000  2 Ag 2.61
Os1 0.5000 0.5000 0.0000  2 Ag 2.48

Properties
- Space-group type: P4/mmm (123)
- Formation energy from raw total energies: 1.939 eV/atom



[2]
The following is a PBE calculation of a relaxed SrCuPt2 crystal, from Alexandria.

a b c (Å): 4.7550 4.7550 4.7550
angles (deg): 60.00 60.00 60.00
Closest atoms and distances in Å follow each position.
Positions (direct):
Sr1 0.0000 0.0000 0.0000  4 Cu 2.91, 4 Pt 2.91
Cu1 0.7500 0.7500 0.7500  4 Sr 2.91, 4 Pt 2.91
Pt1 0.2500 0.2500 0.2500  4 Pt 2.91, 4 Sr 2.91
Pt2 0.5000 0.5000 0.5000  4 Cu 2.91, 4 Pt 2.91

Properties
- Space-group type: F-43m (216)
- Formation enthalpy at 0 K: -0.1234 eV/atom



[3]
The following is a PBE calculation of a relaxed Pa2SiO crystal, from Alexandria.

a b c (Å): 3.1608 3.1608 7.0347
angles (deg): 90.00 90.00 90.00
Closest atoms and distances in Å follow each position.
Positions (direct):
Pa1 0.0000 0.0000 0.2251  4 O 2.74, 4 Si 2.96
Pa2 0.0000 0.0000 0.7749  4 O 2.74, 4 Si 2.96
Si1 0.5000 0.5000 0.5000  8 Pa 2.96, 4 Si 3.16
O1 0.5000 0.5000 0.0000  8 Pa 2.74

Properties
- Space-group type: P4/mmm (123)
- Polymorph energy (0 for the lowest one): 1.94 eV/f.u.
- Formation energy from raw total energies: -0.891 eV/atom



[4]
The following is a PBE calculation of a relaxed ErP2Ir5 crystal, from Alexandria.

a b c (Å): 6.1250 6.1250 6.1250
angles (deg): 142.76 112.02 80.15
Closest atoms and distances in Å follow each position.
Positions (direct):
Er1 0.0000 0.0000 0.0000  4 P 3.07, 10 Ir 3.12-3.42
P1 0.2520 0.7520 0.5000  3 Ir 2.24-2.32
P2 0.7480 0.2480 0.5000  3 Ir 2.24-2.32
Ir1 0.1473 0.3538 0.7934  1 P 2.24
Ir2 0.4396 0.6462 0.7934  1 P 2.24
Ir3 0.5000 0.0000 0.5000  2 P 2.32
Ir4 0.5604 0.3538 0.2066  1 P 2.24
Ir5 0.8527 0.6462 0.2066  1 P 2.24

Properties
- Space-group type: Immm (71)
- Formation enthalpy at 0 K: -0.6559 eV/atom



[5]
The following is a PBE calculation of a relaxed BaAlSnPb2 crystal, from Alexandria.

a b c (Å): 5.9062 5.9062 6.7938
angles (deg): 90.00 90.00 90.00
Closest atoms and distances in Å follow each position.
Positions (direct):
Ba1 0.0000 0.0000 0.0000  2 Al 3.40
Al1 0.0000 0.0000 0.5000  4 Pb 2.95
Sn1 0.5000 0.5000 0.0000  4 Ba 4.18, 8 Pb 4.50
Pb1 0.0000 0.5000 0.5000  2 Al 2.95
Pb2 0.5000 0.0000 0.5000  2 Al 2.95

Properties
- Space-group type: P4/mmm (123)
- Formation enthalpy at 0 K: 0.3327 eV/atom



[6]
The following is a PBE calculation of a relaxed Pm8Rh3SI4 crystal, from Alexandria.

a b c (Å): 9.3267 9.3267 9.3267
angles (deg): 53.51 53.51 53.51
Closest atoms and distances in Å follow each position.
Positions (direct):
Pm1 0.2163 0.7344 0.7344  2 Rh 2.80, 1 S 2.91
Pm2 0.2284 0.2284 0.2284  3 Rh 2.84
Pm3 0.2656 0.2656 0.7837  2 Rh 2.80, 1 S 2.91
Pm4 0.2656 0.7837 0.2656  2 Rh 2.80, 1 S 2.91
Pm5 0.7344 0.2163 0.7344  2 Rh 2.80, 1 S 2.91
Pm6 0.7344 0.7344 0.2163  2 Rh 2.80, 1 S 2.91
Pm7 0.7716 0.7716 0.7716  3 Rh 2.84
Pm8 0.7837 0.2656 0.2656  2 Rh 2.80, 1 S 2.91
Rh1 0.0000 0.0000 0.5000  6 Pm 2.80-2.84
Rh2 0.0000 0.5000 0.0000  6 Pm 2.80-2.84
Rh3 0.5000 0.0000 0.0000  6 Pm 2.80-2.84
S1 0.5000 0.5000 0.5000  6 Pm 2.91
I1 0.0000 0.0000 0.0000  6 Pm 3.43
I2 0.0000 0.5000 0.5000  6 Pm 3.49-3.52
I3 0.5000 0.0000 0.5000  6 Pm 3.49-3.52
I4 0.5000 0.5000 0.0000  6 Pm 3.49-3.52

Properties
- Space-group type: R-3m (166)
- Formation energy from raw total energies: -1.038 eV/atom



[7]
The following is a PBE calculation of a relaxed Sm6DyMg2 crystal, from Alexandria.

a b c (Å): 6.0878 6.0878 8.7456
angles (deg): 90.00 90.00 119.73
Closest atoms and distances in Å follow each position.
Positions (direct):
Sm1 0.1708 0.3407 0.6637  5 Sm 3.38-3.60, 4 Mg 3.41-3.55, 1 Dy 3.42
Sm2 0.1731 0.8269 0.0000  2 Mg 3.36, 3 Dy 3.44-3.56, 5 Sm 3.46-3.64
Sm3 0.3407 0.1708 0.3363  5 Sm 3.38-3.60, 4 Mg 3.41-3.55, 1 Dy 3.42
Sm4 0.6593 0.8292 0.3363  5 Sm 3.38-3.60, 4 Mg 3.41-3.55, 1 Dy 3.42
Sm5 0.8269 0.1731 0.0000  2 Mg 3.36, 3 Dy 3.44-3.56, 5 Sm 3.46-3.64
Sm6 0.8292 0.6593 0.6637  5 Sm 3.38-3.60, 4 Mg 3.41-3.55, 1 Dy 3.42
Dy1 0.5000 0.5000 0.0000  10 Sm 3.42-3.56
Mg1 0.0000 0.5000 0.3288  10 Sm 3.36-3.55
Mg2 0.5000 0.0000 0.6712  10 Sm 3.36-3.55

Properties
- Space-group type: C222 (21)
- Polymorph energy (0 for the lowest one): 0.00 eV/f.u.
- Formation enthalpy at 0 K: 0.0734 eV/atom



[8]
The following is a PBE calculation of a relaxed VCr3W4 crystal, from Alexandria.

a b c (Å): 3.0405 3.0405 12.2036
angles (deg): 90.00 90.00 90.00
Closest atoms and distances in Å follow each position.
Positions (direct):
V1 0.0000 0.0000 0.0000  8 W 2.66
Cr1 0.0000 0.0000 0.2519  8 W 2.63
Cr2 0.0000 0.0000 0.5000  8 W 2.63
Cr3 0.0000 0.0000 0.7481  8 W 2.63
W1 0.5000 0.5000 0.1282  4 Cr 2.63, 4 V 2.66
W2 0.5000 0.5000 0.3761  8 Cr 2.63
W3 0.5000 0.5000 0.6239  8 Cr 2.63
W4 0.5000 0.5000 0.8718  4 Cr 2.63, 4 V 2.66

Properties
- Space-group type: P4/mmm (123)
- Formation enthalpy at 0 K: -0.0119 eV/atom



[9]
The following is a PBE calculation of a relaxed Tb3Pr5Tm2 crystal, from Alexandria.

a b c (Å): 9.2017 9.2017 10.0962
angles (deg): 108.22 108.22 108.30
Closest atoms and distances in Å follow each position.
Positions (direct):
Tb1 0.0301 0.2799 0.0578  1 Tm 3.27, 5 Pr 3.42-3.53, 1 Tb 3.52
Tb2 0.2290 0.7710 0.7500  3 Pr 3.07-3.41, 2 Tm 3.39
Tb3 0.2799 0.0301 0.5578  1 Tm 3.27, 5 Pr 3.42-3.53, 1 Tb 3.52
Tb4 0.7201 0.9699 0.4422  1 Tm 3.27, 5 Pr 3.42-3.53, 1 Tb 3.52
Tb5 0.7710 0.2290 0.2500  3 Pr 3.07-3.41, 2 Tm 3.39
Tb6 0.9699 0.7201 0.9422  1 Tm 3.27, 5 Pr 3.42-3.53, 1 Tb 3.52
Pr1 0.0232 0.9768 0.7500  3 Tb 3.07-3.43
Pr2 0.1178 0.3770 0.7417  3 Tb 3.41-3.82, 3 Pr 3.45-3.54, 2 Tm 3.72-3.80
Pr3 0.2721 0.7279 0.2500  3 Pr 3.13-3.45, 4 Tb 3.42-3.50, 2 Tm 3.47
Pr4 0.3770 0.1178 0.2417  3 Tb 3.41-3.82, 3 Pr 3.45-3.54, 2 Tm 3.72-3.80
Pr5 0.4819 0.5181 0.2500  3 Pr 3.13-3.47, 2 Tm 3.43
Pr6 0.5181 0.4819 0.7500  3 Pr 3.13-3.47, 2 Tm 3.43
Pr7 0.6230 0.8822 0.7583  3 Tb 3.41-3.82, 3 Pr 3.45-3.54, 2 Tm 3.72-3.80
Pr8 0.7279 0.2721 0.7500  3 Pr 3.13-3.45, 4 Tb 3.42-3.50, 2 Tm 3.47
Pr9 0.8822 0.6230 0.2583  3 Tb 3.41-3.82, 3 Pr 3.45-3.54, 2 Tm 3.72-3.80
Pr10 0.9768 0.0232 0.2500  3 Tb 3.07-3.43
Tm1 0.2178 0.4751 0.4411  3 Tb 3.27-3.50, 4 Pr 3.43-3.55
Tm2 0.4751 0.2178 0.9411  3 Tb 3.27-3.50, 4 Pr 3.43-3.55
Tm3 0.5249 0.7822 0.0589  3 Tb 3.27-3.50, 4 Pr 3.43-3.55
Tm4 0.7822 0.5249 0.5589  3 Tb 3.27-3.50, 4 Pr 3.43-3.55

Properties
- Space-group type: C2/c (15)
- Formation enthalpy at 0 K: 0.1703 eV/atom



[10]
The following is a PBE calculation of a relaxed BeCdHg2O crystal, from Alexandria.

a b c (Å): 6.1300 6.1300 2.8874
angles (deg): 90.00 90.00 90.00
Closest atoms and distances in Å follow each position.
Positions (direct):
Be1 0.0000 0.0000 0.0000  2 O 1.44
Cd1 0.5000 0.5000 0.0000  2 Cd 2.89
Hg1 0.0000 0.5000 0.5000  2 Hg 2.89, 2 O 3.06
Hg2 0.5000 0.0000 0.5000  2 Hg 2.89, 2 O 3.06
O1 0.0000 0.0000 0.5000  2 Be 1.44

Properties
- Space-group type: P4/mmm (123)
- Formation energy from raw total energies: -0.707 eV/atom



[11]
The following is a PBE calculation of a relaxed AlGaBi crystal, from Alexandria.

a b c (Å): 3.2312 6.8091 7.0114
angles (deg): 80.36 79.65 79.50
Closest atoms and distances in Å follow each position.
Positions (direct):
Al1 0.1987 0.1661 0.4488  2 Ga 2.69-2.74, 2 Al 2.73-2.79, 1 Bi 2.87
Al2 0.8013 0.8339 0.5512  2 Ga 2.69-2.74, 2 Al 2.73-2.79, 1 Bi 2.87
Ga1 0.1730 0.8943 0.8538  1 Ga 2.67, 2 Al 2.69-2.74
Ga2 0.8270 0.1057 0.1462  1 Ga 2.67, 2 Al 2.69-2.74
Bi1 0.0240 0.5990 0.2337  2 Al 2.87-3.08, 1 Ga 3.08
Bi2 0.9760 0.4010 0.7663  2 Al 2.87-3.08, 1 Ga 3.08

Properties
- Space-group type: P-1 (2)
- Polymorph energy (0 for the lowest one): 0.05 eV/f.u.
- Formation enthalpy at 0 K: 0.1146 eV/atom



[12]
The following is a PBE calculation of a relaxed AcGdPd2 crystal, from Alexandria.

a b c (Å): 3.6862 3.6862 7.2933
angles (deg): 90.00 90.00 90.00
Closest atoms and distances in Å follow each position.
Positions (direct):
Ac1 0.0000 0.0000 0.0000  8 Pd 3.31, 2 Gd 3.65, 4 Ac 3.69
Gd1 0.0000 0.0000 0.5000  8 Pd 3.06
Pd1 0.5000 0.5000 0.2802  4 Gd 3.06, 1 Pd 3.21, 4 Ac 3.31
Pd2 0.5000 0.5000 0.7198  4 Gd 3.06, 1 Pd 3.21, 4 Ac 3.31

Properties
- Space-group type: P4/mmm (123)
- Polymorph energy (0 for the lowest one): 0.00 eV/f.u.
- Formation enthalpy at 0 K: -0.7509 eV/atom



For the records above, the corresponding DOS(E_F) values read 1.62; 0.52; 1.89; 0.47; 1.18; 0.63; 1.32; 0.53; 1.65; 0.32; 0.28; 0.97 states/eV per atom.